Record 1
Computed, not measured: a relaxed Fe2Sb2Cl7 crystal at the PBE-GGA level of DFT.

Summary:
- Raw formation energy: -0.574 eV/atom
- Final energy: -4.0378 eV/atom

Cell lengths 7.944, 7.944, 12.747 Å; angles 95.32, 95.32, 107.90 degrees
Fractional positions:
Fe 0.048 0.860 0.541
Fe 0.140 0.952 0.959
Fe 0.860 0.048 0.041
Fe 0.952 0.140 0.459
Sb 0.336 0.422 0.927
Sb 0.422 0.336 0.427
Sb 0.578 0.664 0.573
Sb 0.664 0.578 0.073
Cl 0.035 0.119 0.632
Cl 0.119 0.035 0.132
Cl 0.123 0.404 0.403
Cl 0.147 0.672 0.926
Cl 0.328 0.853 0.574
Cl 0.404 0.123 0.903
Cl 0.472 0.528 0.750
Cl 0.528 0.472 0.250
Cl 0.596 0.877 0.097
Cl 0.672 0.147 0.426
Cl 0.853 0.328 0.074
Cl 0.877 0.596 0.597
Cl 0.881 0.965 0.868
Cl 0.965 0.881 0.368



Record 2
Computed, not measured: a relaxed Fe2SbCl crystal at the PBE-GGA level of DFT.

Summary:
- Raw formation energy: 0.502 eV/atom
- Final energy: -5.2215 eV/atom

Cell lengths 2.973, 4.074, 6.037 Å; angles 90.00, 90.00, 90.00 degrees
Fractional positions:
Fe 0.000 0.000 0.000
Fe 0.500 0.000 0.500
Sb 0.000 0.500 0.500
Cl 0.500 0.500 0.000



Record 3
Computed, not measured: a relaxed FeSbCl2 crystal at the PBE-GGA level of DFT.

Summary:
- Energy above the most stable polymorph in this dataset: 0.050 eV per atom
- Raw formation energy: -0.235 eV/atom
- Final energy: -4.3049 eV/atom

Cell lengths 7.499, 7.499, 7.499 Å; angles 154.79, 138.77, 48.94 degrees
Fractional positions:
Fe 0.000 0.000 0.000
Sb 0.154 0.654 0.500
Cl 0.602 0.602 0.000
Cl 0.883 0.383 0.500



Record 4
Computed, not measured: a relaxed Fe2SbCl crystal at the PBE-GGA level of DFT.

Summary:
- Raw formation energy: 0.390 eV/atom
- Final energy: -5.3337 eV/atom

Cell lengths 3.333, 3.333, 6.702 Å; angles 90.00, 90.00, 90.00 degrees
Fractional positions:
Fe 0.000 0.000 0.197
Fe 0.000 0.000 0.803
Sb 0.500 0.500 0.000
Cl 0.500 0.500 0.500



Record 5
Computed, not measured: a relaxed FeSbCl2 crystal at the PBE-GGA level of DFT.

Summary:
- Energy above the most stable polymorph in this dataset: 0.682 eV per atom
- Raw formation energy: 0.397 eV/atom
- Final energy: -3.6730 eV/atom

Cell lengths 5.341, 5.341, 3.185 Å; angles 90.00, 90.00, 108.91 degrees
Fractional positions:
Fe 0.000 0.000 0.000
Sb 0.500 0.500 0.000
Cl 0.000 0.500 0.500
Cl 0.500 0.000 0.500



Record 6
Computed, not measured: a relaxed Fe2SbCl crystal at the PBE-GGA level of DFT.

Summary:
- Raw formation energy: -0.026 eV/atom
- Final energy: -5.7492 eV/atom

Cell lengths 3.485, 3.488, 7.207 Å; angles 90.00, 90.08, 90.00 degrees
Fractional positions:
Fe 0.000 0.000 0.000
Fe 0.500 0.500 0.000
Sb 0.000 0.500 0.723
Cl 0.501 0.000 0.240



Record 7
Computed, not measured: a relaxed FeSiSbCl2 crystal at the PBE-GGA level of DFT.

Summary:
- Raw formation energy: 0.245 eV/atom
- Final energy: -4.0957 eV/atom

Cell lengths 4.399, 4.399, 5.106 Å; angles 90.00, 90.00, 90.00 degrees
Fractional positions:
Fe 0.000 0.000 0.000
Si 0.000 0.000 0.500
Sb 0.500 0.500 0.500
Cl 0.000 0.500 0.000
Cl 0.500 0.000 0.000



Record 8
Computed, not measured: a relaxed FeSb2TeCl crystal at the PBE-GGA level of DFT.

Summary:
- Energy above the most stable polymorph in this dataset: 0.922 eV per atom
- Raw formation energy: 1.204 eV/atom
- Final energy: -3.1350 eV/atom

Cell lengths 5.212, 5.212, 5.514 Å; angles 90.00, 90.00, 90.00 degrees
Fractional positions:
Fe 0.000 0.000 0.000
Sb 0.000 0.500 0.500
Sb 0.500 0.000 0.500
Te 0.500 0.500 0.000
Cl 0.500 0.500 0.500